The following is a PBE calculation of TlSnP2O after structural relaxation, from Alexandria.

Cell and atoms, written as POSCAR:
```
TlSnP2O
1.0
5.214 0.000 0.000
0.000 5.214 0.000
0.000 0.000 4.151
P Sn Tl O
2 1 1 1
Direct
0.000 0.500 0.000 P
0.500 0.000 0.000 P
0.500 0.500 0.500 Sn
0.000 0.000 0.000 Tl
0.000 0.000 0.500 O
```

Calculated values
Its uncorrected formation energy is 362 kJ/mol of formula units. The calculation puts the spin magnetization at 0.0000 μB/atom. For the total DFT energy (no corrections), the calculation gives -18.392 eV per formula unit. Its density of states at the Fermi level is 5.67 states/eV/f.u.


The following is a PBE calculation of ScNb2AlSi after structural relaxation, from Alexandria.

Cell and atoms, written as POSCAR:
```
ScNb2AlSi
1.0
4.726 0.000 0.000
0.000 4.785 0.000
0.000 0.000 4.726
Al Nb Sc Si
1 2 1 1
Direct
0.000 0.000 0.000 Al
0.000 0.000 0.500 Nb
0.500 0.000 0.000 Nb
0.000 0.500 0.000 Sc
0.500 0.500 0.500 Si
```

Calculated values
Its uncorrected formation energy is 437 kJ/mol of formula units. The calculation puts the spin magnetization at 0.0000 μB/atom. For the total DFT energy (no corrections), the calculation gives -31.111 eV per formula unit. Its density of states at the Fermi level is 3.43 states/eV/f.u.


The following is a PBE calculation of Pr2ZnAs after structural relaxation, from Alexandria.

Cell and atoms, written as POSCAR:
```
Pr2ZnAs
1.0
-1.675 -1.515 3.554
-3.591 -2.195 -0.134
2.218 -7.685 0.263
Zn Pr As
1 2 1
Direct
0.499 0.499 0.502 Zn
0.260 0.260 0.221 Pr
0.074 0.074 0.777 Pr
0.667 0.667 0.999 As
```

Calculated values
The calculation puts the spin magnetization at 0.0000 μB/atom. For the total DFT energy (no corrections), the calculation gives -18.417 eV per formula unit. The energy of formation from the pure elements is -0.7337 eV/atom. Its density of states at the Fermi level is 2.92 states/eV/f.u.


The following is a PBE calculation of Ba8Ir2Se after structural relaxation, from Alexandria.

Cell and atoms, written as POSCAR:
```
Ba8Ir2Se
1.0
7.755 0.000 -0.001
0.000 8.090 -4.670
-0.001 -0.002 9.342
Ir Ba Se
2 8 1
Direct
0.099 0.333 0.667 Ir
0.901 0.667 0.333 Ir
0.271 0.667 0.333 Ba
0.246 0.664 0.832 Ba
0.754 0.336 0.168 Ba
0.245 0.168 0.832 Ba
0.729 0.333 0.667 Ba
0.754 0.832 0.664 Ba
0.246 0.168 0.336 Ba
0.755 0.832 0.168 Ba
0.000 0.000 0.000 Se
```

Calculated values
Its uncorrected formation energy is -266 kJ/mol of formula units. The calculation puts the spin magnetization at 0.0000 μB/atom. For the total DFT energy (no corrections), the calculation gives -39.341 eV per formula unit. Its density of states at the Fermi level is 6.54 states/eV/f.u.


The following is a PBE calculation of Ru2W after structural relaxation, from Alexandria.

Cell and atoms, written as POSCAR:
```
Ru2W
1.0
4.808 -0.002 0.000
-2.432 4.147 0.000
0.000 0.000 4.412
Ru W
4 2
Direct
0.498 0.161 0.750 Ru
0.161 0.498 0.750 Ru
0.502 0.839 0.250 Ru
0.839 0.502 0.250 Ru
0.821 0.821 0.750 W
0.179 0.179 0.250 W
```

Calculated values
The calculation puts the spin magnetization at 0.0000 μB/atom. For the total DFT energy (no corrections), the calculation gives -31.411 eV per formula unit. The energy of formation from the pure elements is 0.0312 eV/atom. Its density of states at the Fermi level is 3.78 states/eV/f.u.


The following is a PBE calculation of Tl3Bi5Pb12 after structural relaxation, from Alexandria.

Cell and atoms, written as POSCAR:
```
Tl3Bi5Pb12
1.0
16.044 0.000 0.000
-5.348 15.126 0.000
-5.348 -7.563 13.100
Tl Pb Bi
12 48 20
Direct
0.125 0.250 0.875 Tl
0.250 0.125 0.375 Tl
0.625 0.250 0.375 Tl
0.875 0.125 0.250 Tl
0.875 0.750 0.125 Tl
0.750 0.875 0.625 Tl
0.375 0.750 0.625 Tl
0.375 0.625 0.250 Tl
0.250 0.625 0.875 Tl
0.750 0.375 0.125 Tl
0.625 0.375 0.750 Tl
0.125 0.875 0.750 Tl
0.067 0.639 0.734 Pb
0.832 0.928 0.067 Pb
0.928 0.095 0.861 Pb
0.433 0.668 0.072 Pb
0.168 0.072 0.933 Pb
0.361 0.933 0.766 Pb
0.072 0.905 0.139 Pb
0.766 0.433 0.361 Pb
0.332 0.766 0.405 Pb
0.734 0.595 0.168 Pb
0.405 0.139 0.572 Pb
0.639 0.572 0.905 Pb
0.139 0.734 0.567 Pb
0.428 0.067 0.332 Pb
0.266 0.405 0.832 Pb
0.095 0.168 0.234 Pb
0.067 0.428 0.832 Pb
0.668 0.433 0.572 Pb
0.933 0.572 0.168 Pb
0.734 0.139 0.067 Pb
0.933 0.361 0.266 Pb
0.095 0.928 0.361 Pb
0.861 0.266 0.433 Pb
0.433 0.766 0.861 Pb
0.905 0.072 0.639 Pb
0.567 0.234 0.139 Pb
0.361 0.428 0.095 Pb
0.234 0.668 0.095 Pb
0.766 0.332 0.905 Pb
0.572 0.933 0.668 Pb
0.905 0.832 0.766 Pb
0.595 0.734 0.668 Pb
0.928 0.832 0.567 Pb
0.572 0.639 0.405 Pb
0.168 0.095 0.734 Pb
0.861 0.595 0.928 Pb
0.668 0.234 0.595 Pb
0.428 0.361 0.595 Pb
0.234 0.567 0.639 Pb
0.405 0.266 0.332 Pb
0.595 0.861 0.428 Pb
0.567 0.332 0.928 Pb
0.139 0.405 0.072 Pb
0.832 0.905 0.266 Pb
0.266 0.861 0.933 Pb
0.072 0.168 0.433 Pb
0.639 0.067 0.234 Pb
0.332 0.567 0.428 Pb
0.125 0.750 0.375 Bi
0.750 0.625 0.375 Bi
0.000 0.500 0.500 Bi
0.500 0.000 0.000 Bi
0.125 0.375 0.250 Bi
0.625 0.875 0.250 Bi
0.375 0.125 0.750 Bi
0.375 0.250 0.125 Bi
0.750 0.125 0.875 Bi
0.250 0.375 0.625 Bi
0.625 0.750 0.875 Bi
0.500 0.500 0.000 Bi
0.500 0.000 0.500 Bi
0.250 0.875 0.125 Bi
0.500 0.500 0.500 Bi
0.875 0.625 0.750 Bi
0.875 0.250 0.625 Bi
0.000 0.000 0.500 Bi
0.000 0.500 0.000 Bi
0.000 0.000 0.000 Bi
```

Calculated values
The calculation puts the spin magnetization at 0.0000 μB/atom. For the total DFT energy (no corrections), the calculation gives -66.963 eV per formula unit. The energy of formation from the pure elements is 0.2020 eV/atom. Its density of states at the Fermi level is 8.46 states/eV/f.u.


The following is a PBE calculation of YZnGe after structural relaxation, from Alexandria.

Cell and atoms, written as POSCAR:
```
YZnGe
1.0
-0.274 -3.388 2.521
3.681 0.968 -1.851
3.906 8.946 12.447
Zn Ge Y
4 4 4
Direct
0.333 0.667 0.146 Zn
0.667 0.333 0.854 Zn
0.667 0.333 0.646 Zn
0.333 0.667 0.354 Zn
0.667 0.333 0.386 Ge
0.333 0.667 0.886 Ge
0.333 0.667 0.614 Ge
0.667 0.333 0.114 Ge
0.000 0.000 0.500 Y
0.000 0.000 0.250 Y
0.000 0.000 0.000 Y
0.000 0.000 0.750 Y
```

Calculated values
The calculation puts the spin magnetization at 0.0000 μB/atom. For the total DFT energy (no corrections), the calculation gives -14.401 eV per formula unit. The energy of formation from the pure elements is -0.6820 eV/atom. Its density of states at the Fermi level is 0.41 states/eV/f.u.


The following is a PBE calculation of Er2Th3Sc4 after structural relaxation, from Alexandria.

Cell and atoms, written as POSCAR:
```
Er2Th3Sc4
1.0
5.791 0.096 0.495
0.660 9.021 3.391
0.279 -0.294 9.652
Th Sc Er
6 8 4
Direct
0.606 0.716 0.965 Th
0.250 0.374 0.626 Th
0.750 0.626 0.374 Th
0.894 0.035 0.284 Th
0.394 0.284 0.035 Th
0.106 0.965 0.716 Th
0.648 0.859 0.603 Sc
0.852 0.397 0.141 Sc
0.458 0.930 0.174 Sc
0.148 0.603 0.859 Sc
0.958 0.174 0.930 Sc
0.042 0.826 0.070 Sc
0.542 0.070 0.826 Sc
0.352 0.141 0.397 Sc
0.703 0.492 0.747 Er
0.203 0.747 0.492 Er
0.797 0.253 0.508 Er
0.297 0.508 0.253 Er
```

Calculated values
The calculation puts the spin magnetization at 0.0001 μB/atom. For the total DFT energy (no corrections), the calculation gives -55.624 eV per formula unit. The energy of formation from the pure elements is 0.1208 eV/atom. Its density of states at the Fermi level is 13.55 states/eV/f.u.


The following is a PBE calculation of Ca2PPt2 after structural relaxation, from Alexandria.

Cell and atoms, written as POSCAR:
```
Ca2PPt2
1.0
-0.538 1.251 5.346
-4.885 -0.574 2.498
0.854 -7.195 3.308
Ca Pt P
4 4 2
Direct
0.227 0.467 0.660 Ca
0.467 0.227 0.160 Ca
0.773 0.533 0.340 Ca
0.533 0.773 0.840 Ca
0.245 0.005 0.510 Pt
0.755 0.995 0.490 Pt
0.995 0.755 0.990 Pt
0.005 0.245 0.010 Pt
0.125 0.875 0.250 P
0.875 0.125 0.750 P
```

Calculated values
The calculation puts the spin magnetization at 0.0000 μB/atom. For the total DFT energy (no corrections), the calculation gives -26.400 eV per formula unit. The energy of formation from the pure elements is -0.9810 eV/atom. Its density of states at the Fermi level is 2.04 states/eV/f.u.


The following is a PBE calculation of ZrReBr2 after structural relaxation, from Alexandria.

Cell and atoms, written as POSCAR:
```
ZrReBr2
1.0
0.000 3.322 3.322
3.322 0.000 3.322
3.322 3.322 0.000
Re Zr Br
1 1 2
Direct
0.500 0.500 0.500 Re
0.000 0.000 0.000 Zr
0.750 0.750 0.750 Br
0.250 0.250 0.250 Br
```

Calculated values
Its uncorrected formation energy is 312 kJ/mol of formula units. The calculation puts the spin magnetization at 0.0000 μB/atom. For the total DFT energy (no corrections), the calculation gives -21.112 eV per formula unit. Its density of states at the Fermi level is 4.59 states/eV/f.u.


> The highest total DFT energy (no corrections) belongs to which entry?

YZnGe